A plane-wave DFT calculation with GGA-PBE was carried out for RbZnGeCl5 after structural relaxation.

Computed properties:
- Volume: 30.41 A^3/atom
- E_tot: -3.241 eV per atom
- Uncorrected formation energy: -1.23 eV/atom

Cell: 7.5262 7.5262 9.7735 Å, 104.23 104.23 105.77°
Fractional positions:
Cl 0.6150 0.7598 0.9253
Ge 0.0000 0.0000 0.5000
Zn 0.6876 0.3124 0.2500
Rb 0.3412 0.6588 0.2500
Cl 0.1031 0.6849 0.8863
Zn 0.3124 0.6876 0.7500
Cl 0.7598 0.6150 0.4253
Ge 0.0000 0.0000 0.0000
Cl 0.8969 0.3151 0.1137
Cl 0.0714 0.9286 0.2500
Cl 0.6849 0.1031 0.3863
Cl 0.9286 0.0714 0.7500
Cl 0.3151 0.8969 0.6137
Cl 0.3850 0.2402 0.0747
Cl 0.2402 0.3850 0.5747
Rb 0.6588 0.3412 0.7500